PBE-GGA SrLiV, relaxed; V = 169.7 Å³ per cell; energy of formation from the pure elements = 475 meV/atom; calculated density = 2.85 Mg/m³; N(E_F) = 3.5 states/eV per cell
1.0
4.051 -5.655 0.000
4.051 5.655 0.000
-2.246 0.000 3.703
Sr Li V
2 2 2
direct
0.248 0.752 0.000
0.752 0.248 0.000
0.138 0.138 0.751
0.404 0.404 0.513
0.730 0.730 0.411
0.796 0.796 0.065

PBE-GGA TbY4Er5, relaxed; V = 323.3 Å³ per cell; energy of formation from the pure elements = 302 meV/atom; calculated density = 6.94 Mg/m³; N(E_F) = 14.5 states/eV per cell
1.0
-5.065 5.065 3.150
5.065 -5.065 3.150
5.065 5.065 -3.150
Tb Y Er
1 4 5
direct
0.000 0.000 0.000
0.112 0.815 0.385
0.430 0.727 0.615
0.727 0.112 0.297
0.815 0.430 0.703
0.045 0.127 0.627
0.127 0.499 0.082
0.417 0.045 0.918
0.499 0.417 0.373
0.543 0.543 0.000

PBE-GGA Ac7In2Ag2, relaxed; V = 428.8 Å³ per cell; energy of formation from the pure elements = -54 meV/atom; calculated density = 7.88 Mg/m³; N(E_F) = 14.9 states/eV per cell
1.0
4.399 -6.141 0.000
4.399 6.141 0.000
0.000 0.000 7.937
Ac In Ag
7 2 2
direct
0.000 0.000 0.000
0.000 0.500 0.274
0.000 0.500 0.726
0.500 0.000 0.274
0.500 0.000 0.726
0.500 0.500 0.259
0.500 0.500 0.741
0.164 0.164 0.500
0.836 0.836 0.500
0.290 0.710 0.000
0.710 0.290 0.000

PBE-GGA CdIn2H2, relaxed; V = 89.7 Å³ per cell; calculated total energy = -2.34 eV per atom; calculated density = 6.37 Mg/m³; N(E_F) = 1.0 states/eV per cell
1.0
-1.815 1.815 6.812
1.815 -1.815 6.812
1.815 1.815 -6.812
Cd In H
1 2 2
direct
0.000 0.000 0.000
0.349 0.349 0.000
0.651 0.651 0.000
0.250 0.750 0.500
0.750 0.250 0.500

PBE-GGA Co2BPSe, relaxed; V = 87.1 Å³ per cell; formation energy from raw total energies = 1.29 eV per atom; calculated density = 4.55 Mg/m³; N(E_F) = 2.6 states/eV per cell
1.0
4.128 0.000 0.000
0.000 4.128 0.000
0.000 0.000 5.112
Co B P Se
2 1 1 1
direct
0.000 0.500 0.000
0.500 0.000 0.000
0.000 0.000 0.500
0.500 0.500 0.000
0.500 0.500 0.500

PBE-GGA Zr5Mn2Hg2, relaxed; V = 371.1 Å³ per cell; energy of formation from the pure elements = -72 meV/atom; calculated density = 8.66 Mg/m³; N(E_F) = 15.8 states/eV per cell
1.0
7.588 -3.466 0.000
7.588 3.466 0.000
0.000 0.000 7.055
Zr Mn Hg
10 4 4
direct
0.000 0.000 0.000
0.078 0.688 0.691
0.188 0.578 0.191
0.312 0.922 0.691
0.422 0.812 0.191
0.500 0.500 0.500
0.578 0.188 0.809
0.688 0.078 0.309
0.812 0.422 0.809
0.922 0.312 0.309
0.106 0.894 0.391
0.394 0.606 0.891
0.606 0.394 0.109
0.894 0.106 0.609
0.228 0.228 0.000
0.272 0.272 0.500
0.728 0.728 0.500
0.772 0.772 0.000

Question: Which value of N(E_F) does entry 4 give?
Answer: 1.0 states/eV per cell